Here is an optimized crystal structure of ZrFeTc2F from Alexandria via LeMat-Bulk. Energies are from GGA+U.

a b c (Å): 4.8156 4.8156 5.5246
angles (deg): 90.00 90.00 90.00
Closest atoms and distances in Å follow each position.
Positions (direct):
Zr 0.0000 0.0000 0.0000  4 Tc 2.41
Fe 0.0000 0.0000 0.5000  2 Zr 2.76
Tc 0.0000 0.5000 0.0000  2 Zr 2.41
Tc 0.5000 0.0000 0.0000  2 Zr 2.41
F 0.5000 0.5000 0.5000  4 Fe 3.41, 8 Tc 3.66

The density of states at the Fermi level is 4.629 states/eV/cell. As for the volume: 128 Å³ per cell. The space group is P4/mmm, No. 123. As for the total energy: -0.4156 Ry per atom. The value obtained for the spin magnetization is 7.673 Bohr magnetons per cell.